{
  "formula": "YIn2Te2",
  "functional": "GGA-PBE",
  "state": "relaxed",
  "cell": [[8.293, 0.000, 0.000], [0.000, 8.293, 0.000], [0.000, 0.000, 4.277]],
  "species": ["Y", "Y", "In", "In", "In", "In", "Te", "Te", "Te", "Te"],
  "fractional_positions": [[0.000, 0.000, 0.000], [0.500, 0.500, 0.000], [0.124, 0.376, 0.000], [0.376, 0.876, 0.000], [0.624, 0.124, 0.000], [0.876, 0.624, 0.000], [0.191, 0.691, 0.500], [0.309, 0.191, 0.500], [0.691, 0.809, 0.500], [0.809, 0.309, 0.500]],
  "space_group": "P4/mbm, No. 127",
  "magmom_total_mub_per_cell": 0.00,
  "energy_ev_per_fu": -19.712,
  "dos_ef_per_ev_fu": 4.245,
  "formation_energy_uncorrected_ev_per_atom": -0.297
}